1.
4
Lattice="4.1829 0.0000 0.0000 -2.0915 3.6225 0.0000 0.0000 0.0000 6.3074" Properties=species:S:1:pos:R:3 comment="BaZnSeO PBE-GGA optimized geometry" crystal_system=trigonal spacegroup="P3m1, No. 156" pbc="T T T"
Ba 0.0000 0.0000 0.0000
Zn 0.0000 2.4150 2.7986
Se 2.0915 1.2075 3.7174
O 0.0000 2.4150 0.8768



2.
18
Lattice="5.4890 0.0000 0.0000 0.0000 5.4890 0.0000 0.0000 0.0000 7.5975" Properties=species:S:1:pos:R:3 comment="BaZnSe4O12 PBE-GGA optimized geometry" crystal_system=tetragonal spacegroup="P4/mmm, No. 123" pbc="T T T"
Ba 0.0000 0.0000 0.0000
Zn 2.7445 2.7445 3.7987
Se 0.0000 2.7445 1.9657
Se 0.0000 2.7445 5.6318
Se 2.7445 0.0000 1.9657
Se 2.7445 0.0000 5.6318
O 0.0000 2.7445 0.0000
O 0.0000 2.7445 3.7987
O 1.4278 1.4278 2.1093
O 1.4278 1.4278 5.4882
O 1.4278 4.0612 2.1093
O 1.4278 4.0612 5.4882
O 2.7445 0.0000 0.0000
O 2.7445 0.0000 3.7987
O 4.0612 1.4278 2.1093
O 4.0612 1.4278 5.4882
O 4.0612 4.0612 2.1093
O 4.0612 4.0612 5.4882



no.,total magnetic moment (μB per formula unit),total DFT energy (no corrections) (eV/atom),density (g/cm³)
1,0.000,-4.626,5.172
2,0.000,-4.740,5.155